VASP calculation (PBE) on an optimized crystal structure of BePb2Au6. Values from VASP.

E_tot	-3.4457	eV per atom

Quantum ESPRESSO input file:
```
&SYSTEM
  ibrav = 0, nat = 9, ntyp = 3
/
ATOMIC_SPECIES
Be 9.01 Be.upf
Pb 207.20 Pb.upf
Au 196.97 Au.upf
ATOMIC_POSITIONS crystal
Be 0.000 0.000 0.000
Pb 0.250 0.250 0.250
Pb 0.750 0.750 0.750
Au 0.262 0.262 0.738
Au 0.262 0.738 0.262
Au 0.262 0.738 0.738
Au 0.738 0.262 0.262
Au 0.738 0.262 0.738
Au 0.738 0.738 0.262
CELL_PARAMETERS angstrom
0.000 4.499 4.499
4.499 0.000 4.499
4.499 4.499 0.000
```

***

VASP calculation (PBE) on an optimized crystal structure of SrIn2Ru. Values from VASP.

E_tot	-3.8652	eV per atom

Quantum ESPRESSO input file:
```
&SYSTEM
  ibrav = 0, nat = 4, ntyp = 3
/
ATOMIC_SPECIES
Sr 87.62 Sr.upf
In 114.82 In.upf
Ru 101.07 Ru.upf
ATOMIC_POSITIONS crystal
Sr 0.000 0.000 0.000
In 0.000 0.500 0.500
In 0.500 0.000 0.500
Ru 0.500 0.500 0.000
CELL_PARAMETERS angstrom
4.344 0.000 0.000
0.000 4.497 0.000
0.000 0.000 4.793
```

***

VASP calculation (PBE) on an optimized crystal structure of Ce4CoRu. Values from VASP.

energy above the lowest structure with this stoichiometry	0.071	eV per atom
E_tot	-6.7692	eV per atom

Quantum ESPRESSO input file:
```
&SYSTEM
  ibrav = 0, nat = 12, ntyp = 3
/
ATOMIC_SPECIES
Ce 140.12 Ce.upf
Co 58.93 Co.upf
Ru 101.07 Ru.upf
ATOMIC_POSITIONS crystal
Ce 0.184 0.487 0.697
Ce 0.237 0.040 0.803
Ce 0.237 0.434 0.197
Ce 0.300 0.000 0.300
Ce 0.700 0.000 0.700
Ce 0.750 0.550 0.800
Ce 0.750 0.950 0.200
Ce 0.790 0.487 0.303
Co 0.743 0.243 0.500
Co 0.993 0.993 0.000
Ru 0.246 0.746 0.500
Ru 0.496 0.496 0.000
CELL_PARAMETERS angstrom
-4.506 4.506 4.091
4.506 -4.506 4.091
4.506 4.506 -4.091
```